Record 1
{"formula": "Cs2Na3Tl6", "functional": "GGA-PBE", "state": "optimized geometry", "lattice": [[-4.092, 8.442, 1.683], [-8.661, 1.918, -3.487], [-2.353, -2.078, 4.702]], "species": ["Tl", "Tl", "Tl", "Tl", "Tl", "Tl", "Cs", "Cs", "Na", "Na", "Na"], "frac_coords": [[0.992, 0.665, 0.500], [0.008, 0.335, 0.500], [0.635, 0.635, 0.500], [0.665, 0.992, 0.500], [0.335, 0.008, 0.500], [0.365, 0.365, 0.500], [0.715, 0.285, 0.000], [0.285, 0.715, 0.000], [0.000, 0.000, 0.500], [0.245, 0.245, 0.000], [0.755, 0.755, 0.000]], "ef_ev_per_atom": -0.033, "final_energy_ev_per_atom": -1.839}

=====

Record 2
{"formula": "CsNaTl4", "functional": "GGA-PBE", "state": "optimized geometry", "lattice": [[-0.106, 3.868, 0.841], [-1.999, 0.674, -3.351], [-11.250, -1.700, 6.375]], "species": ["Cs", "Tl", "Tl", "Tl", "Tl", "Na"], "frac_coords": [[0.500, 0.000, 0.000], [0.500, 0.999, 0.360], [0.001, 0.501, 0.782], [0.999, 0.499, 0.218], [0.500, 0.001, 0.640], [0.000, 0.500, 0.500]], "ef_ev_per_atom": -0.079, "final_energy_ev_per_atom": -2.019, "relative_energy_ev_per_fu": 0.00}

=====

Record 3
{"formula": "Cs2NaTl16", "functional": "GGA-PBE", "state": "optimized geometry", "lattice": [[8.680, 0.090, 1.078], [0.964, 8.627, 1.078], [0.099, 0.090, 8.746]], "species": ["Cs", "Cs", "Tl", "Tl", "Tl", "Tl", "Tl", "Tl", "Tl", "Tl", "Tl", "Tl", "Tl", "Tl", "Tl", "Tl", "Tl", "Tl", "Na"], "frac_coords": [[0.655, 0.655, 0.655], [0.341, 0.341, 0.341], [0.999, 0.711, 0.290], [0.647, 0.647, 0.140], [0.999, 0.290, 0.711], [0.846, 0.352, 0.352], [0.003, 0.500, 0.003], [0.003, 0.003, 0.500], [0.140, 0.647, 0.647], [0.290, 0.999, 0.711], [0.647, 0.140, 0.647], [0.500, 0.003, 0.003], [0.352, 0.846, 0.352], [0.290, 0.711, 0.999], [0.352, 0.352, 0.846], [0.711, 0.999, 0.290], [0.103, 0.103, 0.103], [0.711, 0.290, 0.999], [0.908, 0.908, 0.908]], "ef_ev_per_atom": -0.041, "final_energy_ev_per_atom": -2.192}

=====

Record 4
{"formula": "CsNa6Tl6", "functional": "GGA-PBE", "state": "optimized geometry", "lattice": [[-0.248, -3.891, 5.380], [0.672, -8.469, -1.991], [7.913, -1.591, 3.317]], "species": ["Tl", "Tl", "Tl", "Tl", "Tl", "Tl", "Na", "Na", "Na", "Na", "Na", "Na", "Cs"], "frac_coords": [[0.000, 0.000, 0.500], [0.500, 0.500, 0.000], [0.500, 0.761, 0.239], [0.500, 0.239, 0.761], [0.500, 0.000, 0.500], [0.000, 0.500, 0.000], [0.650, 0.350, 0.350], [0.301, 0.199, 0.199], [0.000, 0.662, 0.338], [0.699, 0.801, 0.801], [0.350, 0.650, 0.650], [0.000, 0.338, 0.662], [0.000, 0.000, 0.000]], "ef_ev_per_atom": -0.097, "final_energy_ev_per_atom": -1.863}

=====

Record 5
{"formula": "CsNa6Tl", "functional": "GGA-PBE", "state": "optimized geometry", "lattice": [[-2.389, 1.527, -4.878], [-4.305, -3.504, 1.012], [-5.559, 8.374, 5.344]], "species": ["Na", "Na", "Na", "Na", "Na", "Na", "Tl", "Cs"], "frac_coords": [[0.500, 0.500, 0.153], [0.000, 0.500, 0.650], [0.500, 0.500, 0.847], [0.500, 0.000, 0.650], [0.000, 0.500, 0.350], [0.500, 0.000, 0.350], [0.000, 0.000, 0.500], [0.000, 0.000, 0.000]], "ef_ev_per_atom": 0.036, "final_energy_ev_per_atom": -1.356, "relative_energy_ev_per_fu": 0.28}

=====

Record 6
{"formula": "Cs3Na8Tl", "functional": "GGA-PBE", "state": "optimized geometry", "lattice": [[-3.269, 6.774, 0.692], [-0.307, 3.373, 6.751], [9.193, 8.613, 0.339]], "species": ["Cs", "Cs", "Cs", "Na", "Na", "Na", "Na", "Na", "Na", "Na", "Na", "Tl"], "frac_coords": [[0.495, 0.495, 0.514], [0.624, 0.624, 0.127], [0.012, 0.012, 0.964], [0.313, 0.313, 0.062], [0.568, 0.067, 0.796], [0.061, 0.061, 0.341], [0.061, 0.538, 0.341], [0.538, 0.061, 0.341], [0.067, 0.568, 0.796], [0.568, 0.568, 0.796], [0.811, 0.811, 0.568], [0.132, 0.132, 0.605]], "ef_ev_per_atom": 0.033, "final_energy_ev_per_atom": -1.257}

=====

Record 7
{"formula": "Cs2NaTl2", "functional": "GGA-PBE", "state": "optimized geometry", "lattice": [[5.359, 0.000, -2.593], [-1.439, 5.518, -2.973], [0.436, 0.534, 7.734]], "species": ["Tl", "Tl", "Cs", "Cs", "Na"], "frac_coords": [[0.500, 0.243, 0.000], [0.500, 0.757, 0.000], [0.807, 0.307, 0.614], [0.193, 0.693, 0.386], [0.000, 0.000, 0.000]], "ef_ev_per_atom": -0.077, "final_energy_ev_per_atom": -1.629, "relative_energy_ev_per_fu": 0.00}

=====

Record 8
{"formula": "Cs12Na5Tl3", "functional": "GGA-PBE", "state": "optimized geometry", "lattice": [[20.887, 0.000, 0.000], [-6.962, 19.693, 0.000], [-6.962, -9.846, 17.054]], "species": ["Na", "Na", "Na", "Na", "Na", "Na", "Na", "Na", "Na", "Na", "Na", "Na", "Na", "Na", "Na", "Na", "Na", "Na", "Na", "Na", "Cs", "Cs", "Cs", "Cs", "Cs", "Cs", "Cs", "Cs", "Cs", "Cs", "Cs", "Cs", "Cs", "Cs", "Cs", "Cs", "Cs", "Cs", "Cs", "Cs", "Cs", "Cs", "Cs", "Cs", "Cs", "Cs", "Cs", "Cs", "Cs", "Cs", "Cs", "Cs", "Cs", "Cs", "Cs", "Cs", "Cs", "Cs", "Cs", "Cs", "Cs", "Cs", "Cs", "Cs", "Cs", "Cs", "Cs", "Cs", "Tl", "Tl", "Tl", "Tl", "Tl", "Tl", "Tl", "Tl", "Tl", "Tl", "Tl", "Tl"], "frac_coords": [[0.750, 0.125, 0.875], [0.000, 0.000, 0.500], [0.500, 0.500, 0.000], [0.250, 0.875, 0.125], [0.375, 0.125, 0.750], [0.875, 0.250, 0.625], [0.000, 0.500, 0.500], [0.625, 0.750, 0.875], [0.875, 0.625, 0.750], [0.000, 0.000, 0.000], [0.125, 0.750, 0.375], [0.000, 0.500, 0.000], [0.500, 0.500, 0.500], [0.500, 0.000, 0.500], [0.375, 0.250, 0.125], [0.750, 0.625, 0.375], [0.500, 0.000, 0.000], [0.625, 0.875, 0.250], [0.125, 0.375, 0.250], [0.250, 0.375, 0.625], [0.329, 0.766, 0.401], [0.766, 0.329, 0.901], [0.865, 0.266, 0.437], [0.937, 0.571, 0.171], [0.171, 0.099, 0.734], [0.829, 0.901, 0.266], [0.929, 0.829, 0.563], [0.266, 0.401, 0.829], [0.135, 0.401, 0.071], [0.929, 0.099, 0.865], [0.099, 0.171, 0.234], [0.329, 0.563, 0.429], [0.829, 0.929, 0.063], [0.365, 0.429, 0.099], [0.901, 0.071, 0.635], [0.671, 0.437, 0.571], [0.563, 0.234, 0.135], [0.437, 0.671, 0.071], [0.234, 0.671, 0.099], [0.429, 0.063, 0.329], [0.063, 0.635, 0.734], [0.865, 0.599, 0.929], [0.365, 0.937, 0.766], [0.599, 0.865, 0.429], [0.599, 0.734, 0.671], [0.171, 0.071, 0.937], [0.401, 0.135, 0.571], [0.937, 0.365, 0.266], [0.401, 0.266, 0.329], [0.429, 0.365, 0.599], [0.266, 0.865, 0.937], [0.071, 0.901, 0.135], [0.571, 0.937, 0.671], [0.635, 0.571, 0.901], [0.766, 0.437, 0.365], [0.671, 0.234, 0.599], [0.563, 0.329, 0.929], [0.901, 0.829, 0.766], [0.734, 0.599, 0.171], [0.734, 0.135, 0.063], [0.135, 0.734, 0.563], [0.099, 0.929, 0.365], [0.063, 0.429, 0.829], [0.234, 0.563, 0.635], [0.437, 0.766, 0.865], [0.571, 0.635, 0.401], [0.071, 0.171, 0.437], [0.635, 0.063, 0.234], [0.375, 0.625, 0.250], [0.625, 0.375, 0.750], [0.125, 0.875, 0.750], [0.750, 0.375, 0.125], [0.750, 0.875, 0.625], [0.125, 0.250, 0.875], [0.625, 0.250, 0.375], [0.375, 0.750, 0.625], [0.250, 0.125, 0.375], [0.250, 0.625, 0.875], [0.875, 0.750, 0.125], [0.875, 0.125, 0.250]], "ef_ev_per_atom": 0.164, "final_energy_ev_per_atom": -1.033}

=====

Record 9
{"formula": "Cs3NaTl8", "functional": "GGA-PBE", "state": "optimized geometry", "lattice": [[6.579, 0.000, 1.951], [3.000, 5.855, 1.951], [0.087, 0.053, 11.773]], "species": ["Tl", "Tl", "Tl", "Tl", "Tl", "Tl", "Tl", "Tl", "Na", "Cs", "Cs", "Cs"], "frac_coords": [[0.062, 0.062, 0.320], [0.064, 0.565, 0.806], [0.555, 0.062, 0.320], [0.565, 0.064, 0.806], [0.313, 0.313, 0.062], [0.062, 0.555, 0.320], [0.812, 0.812, 0.563], [0.565, 0.565, 0.806], [0.127, 0.127, 0.619], [0.499, 0.499, 0.504], [0.002, 0.002, 0.995], [0.624, 0.624, 0.129]], "ef_ev_per_atom": -0.044, "final_energy_ev_per_atom": -1.945}

=====

no.,total moment (μB/f.u.)
1,0.00
2,0.00
3,0.00
4,0.00
5,0.00
6,0.00
7,0.00
8,6.35
9,0.00